Material: NpGaNiRu
Method: DFT, PBE
State: optimized geometry

```
NpGaNiRu
1.0
4.5160 0.0000 0.0000
2.2580 3.9110 0.0000
2.2580 1.3037 3.6873
Np Ga Ni Ru
1 1 1 1
Cartesian
4.5160 2.6073 1.8436
0.0000 0.0000 0.0000
2.2580 1.3037 0.9218
6.7740 3.9110 2.7655
```

Values from the calculation:
DOS(E_F): 1.675 states/eV/atom
ΔH_f (0 K): -3.01 kcal/mol of atoms